Entry 1:
# Cs3Ac2PbSe6, relaxed, DFT PBE-GGA
data_Cs3Ac2PbSe6
_chemical_formula_sum 'Cs6 Ac4 Pb2 Se12'
_cell_length_a 7.915
_cell_length_b 13.702
_cell_length_c 8.856
_cell_angle_alpha 90.00
_cell_angle_beta 107.32
_cell_angle_gamma 90.00
_symmetry_space_group_name_H-M 'C 1 2/m 1'
_symmetry_Int_Tables_number 12
_symmetry_space_group_name_Hall '-C 2y'
loop_
_atom_site_label
_atom_site_fract_x
_atom_site_fract_y
_atom_site_fract_z
Cs1 0.000 0.000 0.000
Cs2 0.000 0.334 0.000
Ac1 0.000 0.167 0.500
Pb1 0.000 0.500 0.500
Se1 0.229 0.336 0.696
Se2 0.238 0.000 0.697
# D(E_F) = 0.512 states/eV per atom
# DFT total energy = -104.5 eV/cell
# Uncorrected formation energy = -1.40 eV per atom
# Total moment = 0.00 μB/f.u.



Entry 2:
# CsAc2Te6Pb3, relaxed, DFT PBE-GGA
data_CsAc2Te6Pb3
_chemical_formula_sum 'Cs2 Ac4 Te12 Pb6'
_cell_length_a 20.637
_cell_length_b 5.021
_cell_length_c 9.667
_cell_angle_alpha 90.00
_cell_angle_beta 98.68
_cell_angle_gamma 90.00
_symmetry_space_group_name_H-M 'C 1 2/m 1'
_symmetry_Int_Tables_number 12
_symmetry_space_group_name_Hall '-C 2y'
loop_
_atom_site_label
_atom_site_fract_x
_atom_site_fract_y
_atom_site_fract_z
Cs1 0.000 0.000 0.000
Ac1 0.169 0.500 0.337
Te1 0.011 0.500 0.287
Te2 0.164 0.000 0.586
Te3 0.184 0.000 0.119
Pb1 0.000 0.000 0.500
Pb2 0.165 0.500 0.790
# D(E_F) = 0.245 states/eV per atom
# DFT total energy = -99.0 eV/cell
# Uncorrected formation energy = -0.87 eV per atom
# Total moment = 0.00 μB/f.u.



Entry 3:
# CsAc2Pm, relaxed, DFT PBE-GGA
data_CsAc2Pm
_chemical_formula_sum 'Cs3 Ac6 Pm3'
_cell_length_a 3.9680
_cell_length_b 3.9680
_cell_length_c 42.6244
_cell_angle_alpha 90.00
_cell_angle_beta 90.00
_cell_angle_gamma 120.00
_symmetry_space_group_name_H-M 'R -3 m'
_symmetry_Int_Tables_number 166
_symmetry_space_group_name_Hall '-R 3 2"'
loop_
_atom_site_label
_atom_site_fract_x
_atom_site_fract_y
_atom_site_fract_z
Cs1 0.0000 0.0000 0.0000
Ac1 0.0000 0.0000 0.0963
Pm1 0.0000 0.0000 0.5000
# D(E_F) = 1.053 states/eV per atom
# DFT total energy = -38.9 eV/cell
# Formation energy from the elements = 218 meV/atom
# Total moment = 0.00 μB/f.u.



Entry 4:
# Cs2AcPmS4, relaxed, DFT PBE-GGA
data_Cs2AcPmS4
_chemical_formula_sum 'Cs2 Ac1 Pm1 S4'
_cell_length_a 7.550
_cell_length_b 4.357
_cell_length_c 8.486
_cell_angle_alpha 90.00
_cell_angle_beta 107.15
_cell_angle_gamma 90.00
_symmetry_space_group_name_H-M 'P 1 2/m 1'
_symmetry_Int_Tables_number 10
_symmetry_space_group_name_Hall '-P 2y'
loop_
_atom_site_label
_atom_site_fract_x
_atom_site_fract_y
_atom_site_fract_z
Cs1 0.000 0.000 0.000
Cs2 0.500 0.500 0.000
Ac1 0.000 0.500 0.500
Pm1 0.500 0.000 0.500
S1 0.242 0.000 0.690
S2 0.282 0.500 0.314
# D(E_F) = 0.000 states/eV per atom
# DFT total energy = -41.8 eV/cell
# Uncorrected formation energy = -1.84 eV per atom
# Total moment = 0.00 μB/f.u.



Entry 5:
# Cs3Ac2PmS6, relaxed, DFT PBE-GGA
data_Cs3Ac2PmS6
_chemical_formula_sum 'Cs6 Ac4 Pm2 S12'
_cell_length_a 7.625
_cell_length_b 13.206
_cell_length_c 8.501
_cell_angle_alpha 90.00
_cell_angle_beta 107.40
_cell_angle_gamma 90.00
_symmetry_space_group_name_H-M 'C 1 2/m 1'
_symmetry_Int_Tables_number 12
_symmetry_space_group_name_Hall '-C 2y'
loop_
_atom_site_label
_atom_site_fract_x
_atom_site_fract_y
_atom_site_fract_z
Cs1 0.000 0.000 0.000
Cs2 0.000 0.333 0.000
Ac1 0.000 0.167 0.500
Pm1 0.000 0.500 0.500
S1 0.223 0.340 0.689
S2 0.243 0.000 0.690
# D(E_F) = 0.000 states/eV per atom
# DFT total energy = -125.0 eV/cell
# Uncorrected formation energy = -1.85 eV per atom
# Total moment = 0.00 μB/f.u.



Entry 6:
# Cs3Ac2PmSe6, relaxed, DFT PBE-GGA
data_Cs3Ac2PmSe6
_chemical_formula_sum 'Cs6 Ac4 Pm2 Se12'
_cell_length_a 7.888
_cell_length_b 13.662
_cell_length_c 8.822
_cell_angle_alpha 90.00
_cell_angle_beta 107.35
_cell_angle_gamma 90.00
_symmetry_space_group_name_H-M 'C 1 2/m 1'
_symmetry_Int_Tables_number 12
_symmetry_space_group_name_Hall '-C 2y'
loop_
_atom_site_label
_atom_site_fract_x
_atom_site_fract_y
_atom_site_fract_z
Cs1 0.000 0.000 0.000
Cs2 0.000 0.332 0.000
Ac1 0.000 0.167 0.500
Pm1 0.000 0.500 0.500
Se1 0.225 0.340 0.693
Se2 0.244 0.000 0.694
# D(E_F) = 0.000 states/eV per atom
# DFT total energy = -115.5 eV/cell
# Uncorrected formation energy = -1.78 eV per atom
# Total moment = 0.00 μB/f.u.



Entry 7:
# Cs3AcPm2Se6, relaxed, DFT PBE-GGA
data_Cs3AcPm2Se6
_chemical_formula_sum 'Cs6 Ac2 Pm4 Se12'
_cell_length_a 7.731
_cell_length_b 13.390
_cell_length_c 8.802
_cell_angle_alpha 90.00
_cell_angle_beta 107.04
_cell_angle_gamma 90.00
_symmetry_space_group_name_H-M 'C 1 2/m 1'
_symmetry_Int_Tables_number 12
_symmetry_space_group_name_Hall '-C 2y'
loop_
_atom_site_label
_atom_site_fract_x
_atom_site_fract_y
_atom_site_fract_z
Cs1 0.000 0.000 0.000
Cs2 0.000 0.335 0.000
Ac1 0.000 0.500 0.500
Pm1 0.000 0.167 0.500
Se1 0.218 0.000 0.691
Se2 0.237 0.327 0.692
# D(E_F) = 0.000 states/eV per atom
# DFT total energy = -116.2 eV/cell
# Uncorrected formation energy = -1.75 eV per atom
# Total moment = 0.00 μB/f.u.



Entry 8:
# Cs2AcPmSe4, relaxed, DFT PBE-GGA
data_Cs2AcPmSe4
_chemical_formula_sum 'Cs2 Ac1 Pm1 Se4'
_cell_length_a 7.814
_cell_length_b 4.508
_cell_length_c 8.812
_cell_angle_alpha 90.00
_cell_angle_beta 107.11
_cell_angle_gamma 90.00
_symmetry_space_group_name_H-M 'P 1 2/m 1'
_symmetry_Int_Tables_number 10
_symmetry_space_group_name_Hall '-P 2y'
loop_
_atom_site_label
_atom_site_fract_x
_atom_site_fract_y
_atom_site_fract_z
Cs1 0.000 0.000 0.000
Cs2 0.500 0.500 0.000
Ac1 0.000 0.500 0.500
Pm1 0.500 0.000 0.500
Se1 0.244 0.000 0.695
Se2 0.281 0.500 0.310
# D(E_F) = 0.000 states/eV per atom
# DFT total energy = -38.6 eV/cell
# Uncorrected formation energy = -1.76 eV per atom
# Total moment = 0.00 μB/f.u.



Q: What is the formula in the second record?
A: CsAc2Te6Pb3